(1)
Ce5AuSe4: optimized geometry, PBE.

## Properties
E_form (uncorrected): -15.43 eV/f.u.

Geometry as extended XYZ:
```
10
Lattice="-2.102 2.102 15.073 2.102 -2.102 15.073 2.102 2.102 -15.073" Properties=species:S:1:pos:R:3 pbc="T T T"
Ce 0.000 0.000 0.000
Ce 0.000 0.000 6.030
Ce 0.000 0.000 11.946
Ce 0.000 0.000 18.199
Ce 0.000 0.000 24.115
Au 0.000 0.000 15.073
Se 0.000 0.000 3.030
Se 0.000 0.000 9.005
Se 0.000 0.000 21.140
Se 0.000 0.000 27.115
```

=====

(2)
Ce3AuSe6: optimized geometry, PBE.

## Properties
E_form (uncorrected): -13.91 eV/f.u.

Geometry as extended XYZ:
```
20
Lattice="5.356 -8.484 0.000 5.356 8.484 0.000 0.000 0.000 6.859" Properties=species:S:1:pos:R:3 pbc="T T T"
Ce 5.356 7.080 3.430
Ce 2.634 2.285 3.471
Ce 2.634 -2.285 0.041
Ce 8.078 2.285 3.471
Ce 8.078 -2.285 0.041
Ce 5.356 -7.080 0.000
Au 5.356 3.911 4.233
Au 5.356 -3.911 0.803
Se 2.213 3.329 0.684
Se 5.356 5.543 0.870
Se 1.946 0.012 5.232
Se 1.946 -0.012 1.803
Se 2.213 -3.329 4.114
Se 5.356 1.447 3.756
Se 5.356 -1.447 0.327
Se 8.499 3.329 0.684
Se 8.765 0.012 5.232
Se 8.765 -0.012 1.803
Se 5.356 -5.543 4.300
Se 8.499 -3.329 4.114
```

=====

(3)
CeTlAuSe2: optimized geometry, PBE.

## Properties
E_form (uncorrected): -3.78 eV/f.u.

Geometry as extended XYZ:
```
10
Lattice="7.254 0.000 0.000 0.000 5.333 0.000 -1.824 0.000 8.003" Properties=species:S:1:pos:R:3 pbc="T T T"
Ce -0.456 0.028 2.001
Ce -1.368 5.306 6.003
Tl 2.259 1.775 6.003
Tl 3.171 3.559 2.001
Au 0.000 2.667 0.000
Au -0.912 2.667 4.002
Se 1.822 0.940 0.399
Se 0.910 4.394 4.400
Se 4.519 0.940 3.603
Se 3.607 4.394 7.605
```

=====

(4)
Ce3Tl4AuSe8: optimized geometry, PBE.

## Properties
E_form (uncorrected): -16.46 eV/f.u.

Geometry as extended XYZ:
```
16
Lattice="7.415 -4.179 0.000 7.415 4.179 0.000 -4.893 0.000 7.734" Properties=species:S:1:pos:R:3 pbc="T T T"
Ce 0.000 0.000 0.000
Ce 3.707 2.089 0.000
Ce 3.707 -2.089 0.000
Tl -2.447 0.000 3.867
Tl 1.261 2.089 3.867
Tl 1.261 -2.089 3.867
Tl 4.968 0.000 3.867
Au 7.415 0.000 0.000
Se 2.459 0.000 1.625
Se 6.182 2.059 1.565
Se -0.112 0.000 6.068
Se 3.754 2.059 6.169
Se 6.182 -2.059 1.565
Se 10.048 0.000 1.666
Se 3.754 -2.059 6.169
Se 7.477 0.000 6.109
```

=====

(5)
CeTl2Au2Se4: optimized geometry, PBE.

## Properties
E_form (uncorrected): -6.25 eV/f.u.

Geometry as extended XYZ:
```
9
Lattice="7.616 -2.120 0.000 7.616 2.120 0.000 -2.765 0.000 7.631" Properties=species:S:1:pos:R:3 pbc="T T T"
Ce 0.000 0.000 0.000
Tl 0.444 0.000 4.482
Tl 12.024 0.000 3.149
Au 4.896 0.000 0.060
Au 7.572 0.000 7.571
Se 2.439 0.000 1.580
Se 6.792 0.000 1.841
Se 5.676 0.000 5.790
Se 10.029 0.000 6.051
```

=====

(6)
Ce2Si3Au9: optimized geometry, PBE.

## Properties
E_form (uncorrected): -5.08 eV/f.u.

Geometry as extended XYZ:
```
28
Lattice="7.020 -4.034 0.000 7.020 4.034 0.000 -4.889 0.000 9.530" Properties=species:S:1:pos:R:3 pbc="T T T"
Ce 1.153 0.682 2.329
Ce -1.292 -0.682 7.094
Ce 10.443 0.682 2.436
Ce 7.998 -0.682 7.200
Si 3.510 2.017 0.000
Si 3.307 2.220 4.842
Si 3.399 2.220 9.452
Si 1.065 -2.017 4.765
Si 5.751 -2.220 0.077
Si 5.844 -2.220 4.688
Au 5.748 3.402 0.844
Au 5.848 3.402 3.920
Au 1.053 0.682 5.485
Au 4.110 1.529 2.563
Au 0.895 0.789 8.959
Au 3.353 1.144 7.147
Au 3.498 -0.682 0.720
Au 7.485 1.529 2.202
Au 3.340 -0.789 4.195
Au 5.811 0.789 5.335
Au 1.665 -1.529 7.328
Au 5.653 0.682 8.809
Au 5.798 -1.144 2.382
Au 8.256 -0.789 0.570
Au 5.041 -1.529 6.966
Au 8.097 -0.682 4.044
Au 3.303 -3.402 5.609
Au 3.403 -3.402 8.685
```

=====

- Which value of E_form (uncorrected) does entry 2 give?
  -13.91 eV/f.u.

=====

- Which of these has the highest E_form (uncorrected)?
  CeTlAuSe2

=====

- E_form (uncorrected) of number 3 (CeTlAuSe2)?
  -3.78 eV/f.u.